(1)
A geometry-optimized Mg2BeAl structure. Source: the Alexandria database, functional PBE.

Computed properties:
Space group = No. 119
Magnetization = 0.00 μB/f.u.
Volume = 138.54 Å³/cell
ΔH_f (0 K) = 0.26 eV per atom
Fermi-level density of states = 3.3 states/eV/cell

Unit cell a=4.119 b=4.119 c=8.167 alpha=90.00 beta=90.00 gamma=90.00
Fractional positions:
Mg: 0.000 0.000 0.000
Mg: 0.000 0.500 0.250
Mg: 0.500 0.000 0.750
Mg: 0.500 0.500 0.500
Be: 0.000 0.000 0.500
Be: 0.500 0.500 0.000
Al: 0.000 0.500 0.750
Al: 0.500 0.000 0.250

(2)
A geometry-optimized MgBeAl structure. Source: the Alexandria database, functional PBE.

Computed properties:
Space group = No. 1
Magnetization = 0.00 μB/f.u.
Volume = 46.17 Å³/cell
ΔH_f (0 K) = 0.20 eV per atom
Fermi-level density of states = 0.8 states/eV/cell

Unit cell a=2.796 b=2.797 c=6.175 alpha=102.12 beta=101.72 gamma=90.36
Fractional positions:
Mg: 0.000 0.000 0.000
Be: 0.653 0.654 0.319
Al: 0.283 0.285 0.593

(3)
A geometry-optimized Mg2BeAl structure. Source: the Alexandria database, functional PBE.

Computed properties:
Space group = No. 225
Magnetization = 0.00 μB/f.u.
Volume = 276.17 Å³/cell
ΔH_f (0 K) = 0.28 eV per atom
Fermi-level density of states = 7.0 states/eV/cell

Unit cell a=6.512 b=6.512 c=6.512 alpha=90.00 beta=90.00 gamma=90.00
Fractional positions:
Mg: 0.250 0.250 0.250
Mg: 0.250 0.250 0.750
Mg: 0.250 0.750 0.250
Mg: 0.250 0.750 0.750
Mg: 0.750 0.250 0.250
Mg: 0.750 0.250 0.750
Mg: 0.750 0.750 0.250
Mg: 0.750 0.750 0.750
Be: 0.000 0.000 0.000
Be: 0.000 0.500 0.500
Be: 0.500 0.000 0.500
Be: 0.500 0.500 0.000
Al: 0.000 0.000 0.500
Al: 0.000 0.500 0.000
Al: 0.500 0.000 0.000
Al: 0.500 0.500 0.500

(4)
A geometry-optimized Mg3BeAl structure. Source: the Alexandria database, functional PBE.

Computed properties:
Space group = No. 221
Magnetization = 0.00 μB/f.u.
Volume = 135.20 Å³/cell
ΔH_f (0 K) = 0.83 eV per atom
Fermi-level density of states = 2.7 states/eV/cell

Unit cell a=5.132 b=5.132 c=5.132 alpha=90.00 beta=90.00 gamma=90.00
Fractional positions:
Mg: 0.000 0.000 0.500
Mg: 0.000 0.500 0.000
Mg: 0.500 0.000 0.000
Be: 0.500 0.500 0.500
Al: 0.000 0.000 0.000

Question: The lowest ΔH_f (0 K) belongs to which entry?
Answer: MgBeAl

Copy entry 4 word for word.
A geometry-optimized Mg3BeAl structure. Source: the Alexandria database, functional PBE.

Computed properties:
Space group = No. 221
Magnetization = 0.00 μB/f.u.
Volume = 135.20 Å³/cell
ΔH_f (0 K) = 0.83 eV per atom
Fermi-level density of states = 2.7 states/eV/cell

Unit cell a=5.132 b=5.132 c=5.132 alpha=90.00 beta=90.00 gamma=90.00
Fractional positions:
Mg: 0.000 0.000 0.500
Mg: 0.000 0.500 0.000
Mg: 0.500 0.000 0.000
Be: 0.500 0.500 0.500
Al: 0.000 0.000 0.000

Question: Which of these has the highest volume?
Answer: number 3

Question: Which of these has the highest volume?
Answer: number 3